No. 1
DFT (PBE) results for a geometry-optimized DyHo3Tl3Te8 structure.

## Properties
As for the space group: C2/m, No. 12. Its total energy is -4.419 eV per atom.

a = 8.766 Å, b = 8.766 Å, c = 9.629 Å
α = 117.14°, β = 117.14°, γ = 59.91°
Fractional positions:
Dy 0.000 0.000 0.000
Ho 0.000 0.500 0.000
Ho 0.500 0.000 0.000
Ho 0.500 0.500 0.000
Tl 0.000 0.000 0.500
Tl 0.000 0.500 0.500
Tl 0.500 0.000 0.500
Te 0.240 0.240 0.215
Te 0.240 0.735 0.215
Te 0.262 0.262 0.785
Te 0.265 0.760 0.785
Te 0.735 0.240 0.215
Te 0.738 0.738 0.215
Te 0.760 0.265 0.785
Te 0.760 0.760 0.785

No. 2
DFT (PBE) results for a geometry-optimized Dy3HoTl4Te8 structure.

## Properties
As for the space group: R-3m, No. 166. Its total energy is -4.363 eV per atom.

a = 9.664 Å, b = 9.664 Å, c = 9.664 Å
α = 54.79°, β = 54.79°, γ = 54.79°
Fractional positions:
Dy 0.000 0.500 0.500
Dy 0.500 0.000 0.500
Dy 0.500 0.500 0.000
Ho 0.000 0.000 0.000
Tl 0.000 0.000 0.500
Tl 0.000 0.500 0.000
Tl 0.500 0.000 0.000
Tl 0.500 0.500 0.500
Te 0.237 0.237 0.739
Te 0.237 0.739 0.237
Te 0.261 0.763 0.763
Te 0.262 0.262 0.262
Te 0.738 0.738 0.738
Te 0.739 0.237 0.237
Te 0.763 0.261 0.763
Te 0.763 0.763 0.261

No. 3
DFT (PBE) results for a geometry-optimized DyHo3Tm2Te6 structure.

## Properties
As for the space group: C2/m, No. 12. Its total energy is -5.069 eV per atom.

a = 9.689 Å, b = 9.689 Å, c = 8.692 Å
α = 103.43°, β = 103.43°, γ = 25.68°
Fractional positions:
Dy 0.000 0.000 0.000
Ho 0.000 0.000 0.500
Ho 0.336 0.336 0.168
Ho 0.664 0.664 0.832
Tm 0.335 0.335 0.670
Tm 0.665 0.665 0.330
Te 0.168 0.168 0.085
Te 0.168 0.168 0.581
Te 0.499 0.499 0.748
Te 0.501 0.501 0.252
Te 0.832 0.832 0.419
Te 0.832 0.832 0.915

No. 4
DFT (PBE) results for a geometry-optimized Dy2HoTmTe6 structure.

## Properties
As for the space group: R3, No. 146. Its total energy is -5.062 eV per atom.

a = 8.277 Å, b = 8.277 Å, c = 8.277 Å
α = 55.12°, β = 55.12°, γ = 55.12°
Fractional positions:
Dy 0.000 0.000 0.000
Dy 0.500 0.500 0.500
Ho 0.185 0.185 0.185
Tm 0.685 0.685 0.685
Te 0.088 0.411 0.780
Te 0.282 0.909 0.590
Te 0.411 0.780 0.088
Te 0.590 0.282 0.909
Te 0.780 0.088 0.411
Te 0.909 0.590 0.282

No. 5
DFT (PBE) results for a geometry-optimized Dy3HoTm2Te6 structure.

## Properties
As for the space group: C2/m, No. 12. Its total energy is -5.085 eV per atom.

a = 9.704 Å, b = 9.704 Å, c = 8.708 Å
α = 103.54°, β = 103.54°, γ = 25.67°
Fractional positions:
Dy 0.000 0.000 0.000
Dy 0.335 0.335 0.667
Dy 0.665 0.665 0.333
Ho 0.000 0.000 0.500
Tm 0.334 0.334 0.168
Tm 0.666 0.666 0.832
Te 0.167 0.167 0.587
Te 0.168 0.168 0.081
Te 0.499 0.499 0.250
Te 0.501 0.501 0.750
Te 0.832 0.832 0.919
Te 0.833 0.833 0.413

No. 6
DFT (PBE) results for a geometry-optimized Dy3Ho2TmTe6 structure.

## Properties
As for the space group: C2/m, No. 12. Its total energy is -5.106 eV per atom.

a = 9.692 Å, b = 9.692 Å, c = 8.719 Å
α = 102.88°, β = 102.88°, γ = 25.74°
Fractional positions:
Dy 0.000 0.000 0.000
Dy 0.332 0.332 0.667
Dy 0.668 0.668 0.333
Ho 0.332 0.332 0.165
Ho 0.668 0.668 0.835
Tm 0.000 0.000 0.500
Te 0.165 0.165 0.583
Te 0.166 0.166 0.082
Te 0.500 0.500 0.253
Te 0.500 0.500 0.747
Te 0.834 0.834 0.918
Te 0.835 0.835 0.417

No. 7
DFT (PBE) results for a geometry-optimized DyHo2Tm3Te6 structure.

## Properties
As for the space group: C2/m, No. 12. Its total energy is -5.047 eV per atom.

a = 9.683 Å, b = 9.683 Å, c = 8.686 Å
α = 103.68°, β = 103.68°, γ = 25.66°
Fractional positions:
Dy 0.000 0.000 0.000
Ho 0.334 0.334 0.668
Ho 0.666 0.666 0.332
Tm 0.000 0.000 0.500
Tm 0.334 0.334 0.167
Tm 0.666 0.666 0.833
Te 0.166 0.166 0.585
Te 0.168 0.168 0.082
Te 0.499 0.499 0.253
Te 0.501 0.501 0.747
Te 0.832 0.832 0.918
Te 0.834 0.834 0.415

No. 8
DFT (PBE) results for a geometry-optimized DyHo2TmTe6 structure.

## Properties
As for the space group: R3, No. 146. Its total energy is -5.057 eV per atom.

a = 8.269 Å, b = 8.269 Å, c = 8.269 Å
α = 55.10°, β = 55.10°, γ = 55.10°
Fractional positions:
Dy 0.000 0.000 0.000
Ho 0.185 0.185 0.185
Ho 0.686 0.686 0.686
Tm 0.501 0.501 0.501
Te 0.095 0.408 0.776
Te 0.280 0.906 0.592
Te 0.408 0.776 0.095
Te 0.592 0.280 0.906
Te 0.776 0.095 0.408
Te 0.906 0.592 0.280